{
  "formula": "Ac2FeIrO8",
  "functional": "GGA+U",
  "state": "relaxed",
  "crystal_system": "triclinic",
  "total_magnetization_mub_per_fu": 3.3,
  "dft_energy_ev_per_atom": -7.03,
  "density_g_cm3": 8.21,
  "n_ef_per_ev_cell": 4.10,
  "lattice_angstrom": [[-0.237, -4.884, 2.745], [-1.345, -1.530, -3.833], [6.522, -1.634, -1.735]],
  "species": ["O", "O", "O", "O", "O", "O", "O", "O", "Ac", "Ac", "Fe", "Ir"],
  "fractional_positions": [[0.201, 0.780, 0.835], [0.799, 0.220, 0.165], [0.710, 0.746, 0.940], [0.689, 0.799, 0.550], [0.968, 0.235, 0.756], [0.311, 0.201, 0.450], [0.032, 0.765, 0.244], [0.290, 0.254, 0.060], [0.524, 0.286, 0.751], [0.476, 0.714, 0.249], [0.000, 0.000, 0.500], [0.000, 0.000, 0.000]]
}